Here is Pr8Nd2Mg after structural relaxation from Alexandria via LeMat-Bulk. Energies are from PBE-GGA.

Cell lengths 10.000, 10.000, 10.000 Å; angles 146.53, 133.99, 58.08 degrees
Element x y z (fractional)
Pr (0.147, 0.366, 0.781)
Pr (0.174, 0.174, 0.000)
Pr (0.263, 0.000, 0.263)
Pr (0.415, 0.634, 0.781)
Pr (0.585, 0.366, 0.219)
Pr (0.737, 0.000, 0.737)
Pr (0.826, 0.826, 0.000)
Pr (0.853, 0.634, 0.219)
Nd (0.305, 0.805, 0.500)
Nd (0.695, 0.195, 0.500)
Mg (0.000, 0.500, 0.500)

Summary:
The magnetic moment comes out at 0.00 μB/f.u. The energy relative to the elements is 93 meV per atom.

Here is Na3As2Se4 after structural relaxation from Alexandria via LeMat-Bulk. Energies are from PBE-GGA.

Cell lengths 9.446, 9.446, 5.879 Å; angles 91.52, 91.52, 96.85 degrees
Element x y z (fractional)
Na (0.206, 0.794, 0.750)
Na (0.291, 0.465, 0.424)
Na (0.465, 0.291, 0.924)
Na (0.535, 0.709, 0.076)
Na (0.709, 0.535, 0.576)
Na (0.794, 0.206, 0.250)
As (0.074, 0.292, 0.897)
As (0.292, 0.074, 0.397)
As (0.708, 0.926, 0.603)
As (0.926, 0.708, 0.103)
Se (0.066, 0.232, 0.505)
Se (0.232, 0.066, 0.005)
Se (0.250, 0.502, 0.925)
Se (0.498, 0.750, 0.575)
Se (0.502, 0.250, 0.425)
Se (0.750, 0.498, 0.075)
Se (0.768, 0.934, 0.995)
Se (0.934, 0.768, 0.495)

Summary:
The magnetic moment comes out at 0.00 μB/f.u. Its uncorrected formation energy is -0.5434 eV per atom.

Here is Ac5CoPt2N after structural relaxation from Alexandria via LeMat-Bulk. Energies are from PBE-GGA.

Cell lengths 9.410, 9.410, 13.228 Å; angles 90.00, 90.00, 153.79 degrees
Element x y z (fractional)
Ac (0.005, 0.995, 0.500)
Ac (0.147, 0.853, 0.740)
Ac (0.184, 0.816, 0.112)
Ac (0.212, 0.788, 0.409)
Ac (0.461, 0.539, 0.750)
Ac (0.539, 0.461, 0.250)
Ac (0.788, 0.212, 0.909)
Ac (0.816, 0.184, 0.612)
Ac (0.853, 0.147, 0.240)
Ac (0.995, 0.005, 0.000)
Co (0.300, 0.700, 0.763)
Co (0.700, 0.300, 0.263)
Pt (0.369, 0.631, 0.054)
Pt (0.391, 0.609, 0.411)
Pt (0.609, 0.391, 0.911)
Pt (0.631, 0.369, 0.554)
N (0.050, 0.950, 0.160)
N (0.950, 0.050, 0.660)

Summary:
The magnetic moment comes out at 0.00 μB/f.u. Its uncorrected formation energy is -0.7415 eV per atom.

Here is HgH2Ir after structural relaxation from Alexandria via LeMat-Bulk. Energies are from PBE-GGA.

Cell lengths 3.927, 3.927, 3.927 Å; angles 60.00, 60.00, 60.00 degrees
Element x y z (fractional)
Hg (0.000, 0.000, 0.000)
H (0.250, 0.250, 0.250)
H (0.750, 0.750, 0.750)
Ir (0.500, 0.500, 0.500)

Summary:
As for the raw total energy: -11.99 eV for the cell shown. The magnetic moment comes out at 0.00 μB/f.u.